(1)
The following is a DFT calculation (PBE-GGA) of a relaxed structure of Ac2HgRu.

Values from the calculation:
**SG**: R3m, No. 160
**ΔE_f**: -0.265 eV/atom
**D(E_F)**: 1.93 states/eV/cell
**Spin magnetization**: 0.0 μB/cell
**Crystal system**: trigonal
**Volume**: 32.97 Å³/atom
**Energy above the lowest structure with this stoichiometry**: 0 meV/atom
**Mass density**: 9.5 Mg/m³

abc: 4.3285 4.3285 8.5040
angles: 75.26 75.26 60.00
Element x y z (fractional)
1 Ac 0.0647 0.0647 0.8060
2 Ac 0.2687 0.2687 0.1940
3 Hg 0.5006 0.5006 0.4983
4 Ru 0.6661 0.6661 0.0017

(2)
The following is a DFT calculation (PBE-GGA) of a relaxed structure of Ac6Hg3Ru.

Values from the calculation:
**SG**: R-3c, No. 167
**ΔE_f**: -0.287 eV/atom
**D(E_F)**: 21.55 states/eV/cell
**Spin magnetization**: 0.0 μB/cell
**Crystal system**: trigonal
**Volume**: 37.37 Å³/atom
**Energy above the lowest structure with this stoichiometry**: 16 meV/atom
**Mass density**: 9.2 Mg/m³

abc: 9.0886 9.0886 9.0886
angles: 93.07 93.07 93.07
Element x y z (fractional)
1 Ru 0.0000 0.0000 0.0000
2 Ru 0.5000 0.5000 0.5000
3 Ac 0.0790 0.9573 0.3076
4 Ac 0.5788 0.8076 0.4574
5 Ac 0.0427 0.6924 0.9210
6 Ac 0.9573 0.3076 0.0790
7 Ac 0.4212 0.1924 0.5426
8 Ac 0.8076 0.4574 0.5788
9 Ac 0.5426 0.4212 0.1924
10 Ac 0.1924 0.5426 0.4212
11 Ac 0.3076 0.0790 0.9573
12 Ac 0.9210 0.0427 0.6924
13 Ac 0.6924 0.9210 0.0427
14 Ac 0.4574 0.5788 0.8076
15 Hg 0.8556 0.6447 0.2501
16 Hg 0.3553 0.7499 0.1444
17 Hg 0.1444 0.3553 0.7499
18 Hg 0.6447 0.2501 0.8556
19 Hg 0.7499 0.1444 0.3553
20 Hg 0.2501 0.8556 0.6447

(3)
The following is a DFT calculation (PBE-GGA) of a relaxed structure of Ac6HgRu2.

Values from the calculation:
**SG**: C2/m, No. 12
**ΔE_f**: -0.108 eV/atom
**D(E_F)**: 8.63 states/eV/cell
**Spin magnetization**: 0.0 μB/cell
**Crystal system**: monoclinic
**Volume**: 33.17 Å³/atom
**Energy above the lowest structure with this stoichiometry**: 112 meV/atom
**Mass density**: 9.8 Mg/m³

abc: 5.6729 6.1700 9.7412
angles: 81.43 90.00 117.37
Element x y z (fractional)
1 Ac 0.3443 0.6885 0.3847
2 Ac 0.7124 0.4248 0.1535
3 Ac 0.6557 0.3115 0.6153
4 Ac 0.0352 0.0703 0.1607
5 Ac 0.2876 0.5752 0.8465
6 Ac 0.9648 0.9297 0.8393
7 Hg 0.0000 0.0000 0.5000
8 Ru 0.3931 0.7862 0.0954
9 Ru 0.6069 0.2138 0.9046

(4)
The following is a DFT calculation (PBE-GGA) of a relaxed structure of Ac2HgRu.

Values from the calculation:
**SG**: Fm-3m, No. 225
**ΔE_f**: -0.143 eV/atom
**D(E_F)**: 4.43 states/eV/cell
**Spin magnetization**: 0.0 μB/cell
**Crystal system**: cubic
**Volume**: 28.83 Å³/atom
**Energy above the lowest structure with this stoichiometry**: 123 meV/atom
**Mass density**: 10.9 Mg/m³

abc: 5.4637 5.4637 5.4637
angles: 60.00 60.00 60.00
Element x y z (fractional)
1 Ac 0.2500 0.2500 0.2500
2 Ac 0.7500 0.7500 0.7500
3 Ru 0.5000 0.5000 0.5000
4 Hg 0.0000 0.0000 0.0000

(5)
The following is a DFT calculation (PBE-GGA) of a relaxed structure of Ac2HgRu.

Values from the calculation:
**SG**: P4/mmm, No. 123
**ΔE_f**: -0.215 eV/atom
**D(E_F)**: 4.70 states/eV/cell
**Spin magnetization**: 0.3 μB/cell
**Crystal system**: tetragonal
**Volume**: 29.22 Å³/atom
**Energy above the lowest structure with this stoichiometry**: 50 meV/atom
**Mass density**: 10.7 Mg/m³

abc: 3.7638 3.7638 8.2505
angles: 90.00 90.00 90.00
Element x y z (fractional)
1 Ru 0.5000 0.5000 0.0000
2 Ac 0.0000 0.0000 0.2183
3 Ac 0.0000 0.0000 0.7817
4 Hg 0.5000 0.5000 0.5000

(6)
The following is a DFT calculation (PBE-GGA) of a relaxed structure of Ac2HgRu.

Values from the calculation:
**SG**: R-3m, No. 166
**ΔE_f**: -0.093 eV/atom
**D(E_F)**: 1.86 states/eV/cell
**Spin magnetization**: 0.0 μB/cell
**Crystal system**: trigonal
**Volume**: 39.90 Å³/atom
**Energy above the lowest structure with this stoichiometry**: 172 meV/atom
**Mass density**: 7.9 Mg/m³

abc: 4.2522 4.2522 10.4830
angles: 78.30 78.30 60.00
Element x y z (fractional)
1 Ac 0.8853 0.8853 0.3441
2 Ac 0.1147 0.1147 0.6559
3 Ru 0.5000 0.5000 0.5000
4 Hg 0.0000 0.0000 0.0000